Material: La2PmNd6Ho3
Method: DFT, GGA-PBE
State: relaxed

a = 6.3345 Å, b = 10.9793 Å, c = 12.0712 Å
α = 90.00°, β = 100.09°, γ = 90.00°
Last column: nearest neighbours and their distance in Å.
Space group C2/m (No. 12)
One atom of each set of equivalent atoms:
La: 0.0000 0.1665 0.0000 [4 per cell]  3 La 3.66, 3 Pm 3.66, 6 Nd 3.70
Pm: 0.0000 0.5000 0.0000 [2 per cell]  6 La 3.66, 6 Nd 3.70
Nd: 0.2472 0.5000 0.7442 [4 per cell]  3 Ho 3.59, 6 Nd 3.65-3.66, 1 Pm 3.70, 2 La 3.70
Nd: 0.2479 0.1664 0.7441 [8 per cell]  3 Ho 3.59, 6 Nd 3.65-3.66, 1 Pm 3.70, 2 La 3.70
Ho: 0.0000 0.0000 0.5000 [2 per cell]  6 Nd 3.59, 6 Ho 3.66
Ho: 0.0000 0.3335 0.5000 [4 per cell]  6 Nd 3.59, 6 Ho 3.66

Computed properties:
ΔE_f, eV per atom: 0.02
N(E_F), states/eV/cell: 35.933
Total energy, eV per atom: -4.726